Entry from Alexandria: a relaxed BaMoRh crystal (PBE-GGA).

Cell and atoms, written as POSCAR:
```
BaMoRh
1.0
4.274 0.000 0.000
2.128 4.114 0.000
1.943 -0.854 10.291
Ba Mo Rh
2 2 2
Cartesian
0.000 0.000 0.000
4.079 2.363 3.978
4.086 0.627 8.057
6.222 1.572 7.026
4.086 3.112 7.125
4.096 -0.163 5.663
```

## Properties
As for the space-group type: P1. Its total energy is -38.57 eV for the cell shown. The energy of formation from the pure elements is 6.30 kcal/mol of atoms. For the energy above the most stable polymorph in this dataset, the calculation gives 0.141 eV/atom.



Entry from Alexandria: a relaxed Ba2MoRh crystal (PBE-GGA).

Cell and atoms, written as POSCAR:
```
Ba2MoRh
1.0
1.849 1.068 9.665
-1.849 1.068 9.665
0.000 -2.136 9.665
Ba Mo Rh
2 1 1
Cartesian
0.000 0.000 7.070
0.000 0.000 21.926
0.000 0.000 0.000
0.000 0.000 14.498
```

## Properties
As for the space-group type: R-3m. Its total energy is -17.91 eV for the cell shown. The energy of formation from the pure elements is 23.76 kcal/mol of atoms. For the energy above the most stable polymorph in this dataset, the calculation gives 0.636 eV/atom.



Entry from Alexandria: a relaxed Ba2MoRh crystal (PBE-GGA).

Cell and atoms, written as POSCAR:
```
Ba2MoRh
1.0
-2.000 2.654 6.244
2.000 -2.654 6.244
2.000 2.654 -6.244
Ba Mo Rh
2 1 1
Cartesian
0.000 0.000 0.000
0.000 2.654 2.800
2.000 0.000 3.849
0.000 0.000 5.127
```

## Properties
As for the space-group type: Imm2. Its total energy is -20.27 eV for the cell shown. The energy of formation from the pure elements is 10.14 kcal/mol of atoms. For the energy above the most stable polymorph in this dataset, the calculation gives 0.045 eV/atom.



Entry from Alexandria: a relaxed BaMo2Rh crystal (PBE-GGA).

Cell and atoms, written as POSCAR:
```
BaMo2Rh
1.0
3.185 0.000 0.000
0.000 3.277 0.000
-0.738 0.000 8.086
Ba Mo Rh
1 2 1
Cartesian
0.000 0.000 0.000
1.317 1.638 2.700
2.480 0.000 4.131
0.982 1.638 5.645
```

## Properties
As for the space-group type: Pm. Its total energy is -29.06 eV for the cell shown. The energy of formation from the pure elements is 10.81 kcal/mol of atoms. For the energy above the most stable polymorph in this dataset, the calculation gives 0.000 eV/atom.



Entry from Alexandria: a relaxed BaMoRh crystal (PBE-GGA).

Cell and atoms, written as POSCAR:
```
BaMoRh
1.0
5.403 0.000 0.000
0.000 4.372 0.000
-1.177 0.000 6.245
Ba Mo Rh
2 2 2
Cartesian
0.813 1.093 2.620
3.413 3.279 3.625
0.808 3.279 6.060
3.418 1.093 0.185
-0.523 1.093 5.710
4.749 3.279 0.535
```

## Properties
As for the space-group type: P2_1/m. Its total energy is -38.60 eV for the cell shown. The energy of formation from the pure elements is 6.20 kcal/mol of atoms. For the energy above the most stable polymorph in this dataset, the calculation gives 0.137 eV/atom.



Entry from Alexandria: a relaxed BaMoRh crystal (PBE-GGA).

Cell and atoms, written as POSCAR:
```
BaMoRh
1.0
-1.677 1.677 6.334
1.677 -1.677 6.334
1.677 1.677 -6.334
Ba Mo Rh
1 1 1
Cartesian
0.000 0.000 0.000
0.000 0.000 3.627
0.000 0.000 8.974
```

## Properties
As for the space-group type: I4mm. Its total energy is -18.72 eV for the cell shown. The energy of formation from the pure elements is 10.67 kcal/mol of atoms. For the energy above the most stable polymorph in this dataset, the calculation gives 0.330 eV/atom.



Entry from Alexandria: a relaxed Ba2MoRh crystal (PBE-GGA).

Cell and atoms, written as POSCAR:
```
Ba2MoRh
1.0
3.495 0.000 0.000
0.000 3.495 0.000
0.000 0.000 9.972
Ba Mo Rh
2 1 1
Cartesian
0.000 0.000 0.000
1.747 1.747 4.049
0.000 0.000 6.642
1.747 1.747 7.514
```

## Properties
As for the space-group type: P4mm. Its total energy is -20.23 eV for the cell shown. The energy of formation from the pure elements is 10.37 kcal/mol of atoms. For the energy above the most stable polymorph in this dataset, the calculation gives 0.055 eV/atom.



Entry from Alexandria: a relaxed BaMo2Rh crystal (PBE-GGA).

Cell and atoms, written as POSCAR:
```
BaMo2Rh
1.0
0.000 3.389 3.389
3.389 0.000 3.389
3.389 3.389 0.000
Ba Mo Rh
1 2 1
Cartesian
0.000 0.000 0.000
3.389 3.389 3.389
5.084 5.084 5.084
1.695 1.695 1.695
```

## Properties
As for the space-group type: F-43m. Its total energy is -27.01 eV for the cell shown. The energy of formation from the pure elements is 22.62 kcal/mol of atoms. For the energy above the most stable polymorph in this dataset, the calculation gives 0.512 eV/atom.



Entry from Alexandria: a relaxed Ba2MoRh crystal (PBE-GGA).

Cell and atoms, written as POSCAR:
```
Ba2MoRh
1.0
-2.701 2.701 3.863
2.701 -2.701 3.863
2.701 2.701 -3.863
Ba Mo Rh
2 1 1
Cartesian
0.000 0.000 0.000
0.000 2.701 1.931
2.701 0.000 1.931
0.000 0.000 3.863
```

## Properties
As for the space-group type: I-4m2. Its total energy is -18.27 eV for the cell shown. The energy of formation from the pure elements is 21.69 kcal/mol of atoms. For the energy above the most stable polymorph in this dataset, the calculation gives 0.546 eV/atom.



Entry from Alexandria: a relaxed BaMo2Rh crystal (PBE-GGA).

Cell and atoms, written as POSCAR:
```
BaMo2Rh
1.0
3.279 0.000 0.000
0.000 4.632 0.000
0.000 0.000 5.335
Ba Mo Rh
1 2 1
Cartesian
0.000 0.000 0.000
0.000 2.316 2.667
1.640 0.000 2.667
1.640 2.316 0.000
```

## Properties
As for the space-group type: Pmmm. Its total energy is -26.75 eV for the cell shown. The energy of formation from the pure elements is 24.13 kcal/mol of atoms. For the energy above the most stable polymorph in this dataset, the calculation gives 0.577 eV/atom.



Entry from Alexandria: a relaxed Ba2MoRh crystal (PBE-GGA).

Cell and atoms, written as POSCAR:
```
Ba2MoRh
1.0
4.076 0.000 0.000
0.000 2.623 6.177
0.000 -2.623 6.177
Ba Mo Rh
2 1 1
Cartesian
0.000 0.000 0.000
2.038 0.000 3.492
0.000 0.000 8.538
2.038 0.000 7.291
```

## Properties
As for the space-group type: Amm2. Its total energy is -20.45 eV for the cell shown. The energy of formation from the pure elements is 9.10 kcal/mol of atoms. For the energy above the most stable polymorph in this dataset, the calculation gives 0.000 eV/atom.



Entry from Alexandria: a relaxed BaMo2Rh crystal (PBE-GGA).

Cell and atoms, written as POSCAR:
```
BaMo2Rh
1.0
-1.978 1.978 5.247
1.978 -1.978 5.247
1.978 1.978 -5.247
Ba Mo Rh
1 2 1
Cartesian
0.000 0.000 0.000
1.978 0.000 2.624
0.000 1.978 2.624
0.000 0.000 5.247
```

## Properties
As for the space-group type: I4/mmm. Its total energy is -26.37 eV for the cell shown. The energy of formation from the pure elements is 26.31 kcal/mol of atoms. For the energy above the most stable polymorph in this dataset, the calculation gives 0.672 eV/atom.



Question: Which of these has the highest energy of formation from the pure elements?
Answer: number 12